A plane-wave DFT calculation with PBE was carried out for In3IrBr after structural relaxation.

Properties
Calculated total energy in eV/cell: -79.885
Magnetic moment in μB/f.u.: 0.000
Mass density in g/cm3: 8.251
E_form (uncorrected) in eV/atom: -0.244
Symmetry: P2_1/c (14)

Cell: 24.0156 5.8346 9.5166 Å, 90.00 158.15 90.00°
Last column: nearest neighbours and their distance in Å.
Positions (direct):
Ir1 0.1055 0.2385 0.6056  6 In 2.65-2.96
Ir2 0.8945 0.7615 0.3944  6 In 2.65-2.96
Ir3 0.3945 0.7385 0.8944  6 In 2.65-2.96
Ir4 0.6055 0.2615 0.1056  6 In 2.65-2.96
Br1 0.4192 0.7505 0.4191  8 In 3.10-3.40
Br2 0.5808 0.2495 0.5809  8 In 3.10-3.40
Br3 0.0808 0.2505 0.0809  8 In 3.10-3.40
Br4 0.9192 0.7495 0.9191  8 In 3.10-3.40
In1 0.2473 0.9838 0.7426  2 Ir 2.68-2.69, 2 In 2.92
In2 0.7527 0.0162 0.2574  2 Ir 2.68-2.69, 2 In 2.92
In3 0.2527 0.4838 0.7574  2 Ir 2.68-2.69, 2 In 2.92
In4 0.7473 0.5162 0.2426  2 Ir 2.68-2.69, 2 In 2.92
In5 0.3507 0.2497 0.3509  2 Ir 2.73
In6 0.6493 0.7503 0.6491  2 Ir 2.73
In7 0.1493 0.7497 0.1491  2 Ir 2.73
In8 0.8507 0.2503 0.8509  2 Ir 2.73
In9 0.5644 0.7656 0.0645  2 Ir 2.65-2.96
In10 0.4356 0.2344 0.9355  2 Ir 2.65-2.96
In11 0.9356 0.2656 0.4355  2 Ir 2.65-2.96
In12 0.0644 0.7344 0.5645  2 Ir 2.65-2.96